No. 1
The following is a DFT calculation (PBE-GGA) of Zr2TiZn2Rh5 after structural relaxation.

Values from the calculation:
The uncorrected energy comes out at -7.021 eV per atom. The value obtained for the mass density is 9.10 g/cm3. Its formation energy from the elements is -57 kJ/mol of atoms.

Cell lengths 9.468, 9.468, 3.565 Å; angles 90.00, 90.00, 90.00 degrees
Space group P4/mbm (No. 127)
One atom of each set of equivalent atoms:
Zr: 0.172 0.328 0.000 x4
Ti: 0.000 0.000 0.000 x2
Zn: 0.126 0.626 0.000 x4
Rh: 0.000 0.500 0.500 x2
Rh: 0.073 0.802 0.500 x8

No. 2
The following is a DFT calculation (PBE-GGA) of ZrTiRh5 after structural relaxation.

Values from the calculation:
The uncorrected energy comes out at -8.027 eV per atom. The value obtained for the mass density is 9.61 g/cm3. Its formation energy from the elements is -41 kJ/mol of atoms.

Cell lengths 4.092, 4.092, 6.746 Å; angles 90.00, 90.00, 90.00 degrees
Space group P4/mmm (No. 123)
One atom of each set of equivalent atoms:
Zr: 0.000 0.000 0.000 x1
Ti: 0.500 0.500 0.500 x1
Rh: 0.000 0.500 0.285 x4
Rh: 0.500 0.500 0.000 x1